[1]
DFT (PBE-GGA) results for a geometry-optimized SmDyPd2 structure.

Lattice parameters (Å, degrees): 7.0868 7.0868 7.0868 33.93 33.93 33.93
Sites, in units of the cell vectors:
Sm 0.0000 0.0000 0.0000
Dy 0.5000 0.5000 0.5000
Pd 0.2471 0.2471 0.2471
Pd 0.7529 0.7529 0.7529

Properties
Space-group type = No. 166
Energy relative to the lowest polymorph listed for this composition = 162 meV/atom
DFT formation energy = -0.72 eV per atom
Total magnetic moment = 0.0 μB per formula unit
DOS(E_F) = 0.65 states/eV per atom

[2]
DFT (PBE-GGA) results for a geometry-optimized Fe2CoSb structure.

Lattice parameters (Å, degrees): 2.9622 3.6610 5.2082 90.00 90.00 90.00
Sites, in units of the cell vectors:
Fe 0.0000 0.0000 0.2234
Fe 0.0000 0.0000 0.7766
Co 0.5000 0.5000 0.0000
Sb 0.5000 0.5000 0.5000

Properties
Space-group type = No. 47
VASP energy = -6.803 eV/atom
Total magnetic moment = 6.3 μB per formula unit
DOS(E_F) = 1.13 states/eV per atom

[3]
DFT (PBE-GGA) results for a geometry-optimized In2CuO2 structure.

Lattice parameters (Å, degrees): 4.9269 4.9269 4.9269 120.30 120.30 89.48
Sites, in units of the cell vectors:
In 0.2500 0.7500 0.5000
In 0.7500 0.2500 0.5000
Cu 0.0000 0.0000 0.0000
O 0.2658 0.2658 0.0000
O 0.7342 0.7342 0.0000

Properties
Space-group type = No. 139
Energy relative to the lowest polymorph listed for this composition = 0 meV/atom
Total magnetic moment = 0.0 μB per formula unit
DOS(E_F) = 0.47 states/eV per atom